# CuMoN2F

Crystalline CuMoN2F at its relaxed geometry (PBE+U, Alexandria via LeMat-Bulk).

Properties
The energy above the lowest structure with this stoichiometry is 0.000 eV/atom. The value obtained for the density of states at the Fermi level is 0.3290 states/eV/atom. Its symmetry is P4/mmm. For the uncorrected energy, the calculation gives -5.642 eV/atom.

Lattice parameters (Å, degrees): 3.9700 3.9700 4.1167 90.00 90.00 90.00
With the nearest neighbours (Å) after each atom.
Sites, in units of the cell vectors:
Cu1 0.0000 0.0000 0.0000  4 F 2.81, 8 N 2.86
Mo1 0.5000 0.5000 0.5000  4 N 1.98, 2 F 2.06
N1 0.0000 0.5000 0.5000  2 Mo 1.98
N2 0.5000 0.0000 0.5000  2 Mo 1.98
F1 0.5000 0.5000 0.0000  2 Mo 2.06